Record 1
DFT (PBE) results for a geometry-optimized La3Zn2Ga structure.

Summary:
Total DFT energy (no corrections)   -3.79 eV per atom
Fermi-level density of states   6.73 states/eV per cell
Energy relative to the lowest polymorph listed for this composition   3 meV/atom
SG   No. 123

Structure (POSCAR):
```
La3Zn2Ga
1.0
3.749 0.000 0.000
0.000 3.749 0.000
0.000 0.000 11.380
La Zn Ga
3 2 1
Cartesian
0.000 0.000 0.000
0.000 0.000 3.810
0.000 0.000 7.570
1.874 1.874 1.870
1.874 1.874 9.510
1.874 1.874 5.690
```

Record 2
DFT (PBE) results for a geometry-optimized BaTl2AgPt structure.

Summary:
Total DFT energy (no corrections)   -3.29 eV per atom
Fermi-level density of states   3.81 states/eV per cell
Energy relative to the lowest polymorph listed for this composition   0 meV/atom
SG   No. 123

Structure (POSCAR):
```
BaTl2AgPt
1.0
5.293 0.000 0.000
0.000 5.293 0.000
0.000 0.000 5.432
Ba Tl Ag Pt
1 2 1 1
Cartesian
0.000 0.000 0.000
0.000 2.647 2.716
2.647 0.000 2.716
2.647 2.647 0.000
2.647 2.647 2.716
```

Record 3
DFT (PBE) results for a geometry-optimized Na2TiS3 structure.

Summary:
Total DFT energy (no corrections)   -5.04 eV per atom
Energy relative to the elements, uncorrected   -1218.0 meV per atom
Fermi-level density of states   0.00 states/eV per cell
SG   No. 15

Structure (POSCAR):
```
Na2TiS3
1.0
3.521 -6.152 0.000
3.521 6.152 0.000
-0.692 0.000 13.669
Na Ti S
8 4 12
Cartesian
1.198 2.540 11.515
1.143 1.357 5.873
0.796 -1.357 12.707
1.544 -2.540 4.680
4.807 2.540 8.988
5.554 1.357 0.962
5.208 -1.357 7.796
5.153 -2.540 2.154
1.785 0.034 2.182
1.439 -0.034 9.016
4.911 0.034 4.653
4.565 -0.034 11.487
3.002 6.135 10.252
1.447 1.230 0.372
1.967 2.070 8.586
1.101 -1.230 7.206
3.348 1.280 3.417
4.037 2.070 11.917
2.313 -2.070 1.752
3.002 -1.280 10.252
5.249 1.230 6.463
4.383 -2.070 5.083
4.903 -1.230 13.297
3.348 -6.135 3.417
```